[1]
A relaxed structure of LaCdB, computed with PBE.

- formation energy from the elements (meV per atom) = 151
- energy (eV per atom) = -4.02
- total magnetization (μB/f.u.) = 0.0
- N(E_F) (states/eV per cell) = 2.6

POSCAR file:
```
LaCdB
1.0
-3.002 -2.110 2.919
5.301 -2.380 3.731
-0.116 3.384 2.323
B La Cd
2 2 2
Direct
0.476 0.448 0.935
0.801 0.948 0.435
0.149 0.607 0.434
0.128 0.107 0.935
0.646 0.778 0.934
0.631 0.278 0.435
```

---

[2]
A relaxed structure of ZnSnI2, computed with PBE.

- energy (eV per atom) = -2.10
- formation energy (no corrections) (eV/f.u.) = -0.01
- total magnetization (μB/f.u.) = 0.0
- N(E_F) (states/eV per cell) = 0.0

POSCAR file:
```
ZnSnI2
1.0
9.095 0.000 0.000
0.000 9.095 0.000
4.548 4.548 4.009
I Zn Sn
4 2 2
Direct
0.375 0.333 0.750
0.083 0.625 0.250
0.667 0.125 0.250
0.875 0.917 0.750
0.500 0.500 0.000
0.250 0.750 0.500
0.000 0.000 0.000
0.750 0.250 0.500
```

---

[3]
A relaxed structure of Zn2NiCl, computed with PBE.

- energy (eV per atom) = -2.09
- formation energy (no corrections) (eV/f.u.) = 1.81
- total magnetization (μB/f.u.) = 0.0
- N(E_F) (states/eV per cell) = 2.3

POSCAR file:
```
Zn2NiCl
1.0
0.000 3.202 3.202
3.202 0.000 3.202
3.202 3.202 0.000
Zn Cl Ni
2 1 1
Direct
0.250 0.250 0.250
0.750 0.750 0.750
0.000 0.000 0.000
0.500 0.500 0.500
```

---

[4]
A relaxed structure of Ac12Ir2Pb5, computed with PBE.

- formation energy from the elements (meV per atom) = -389
- energy (eV per atom) = -4.89
- total magnetization (μB/f.u.) = 0.9
- N(E_F) (states/eV per cell) = 19.6

POSCAR file:
```
Ac12Ir2Pb5
1.0
-6.510 -5.513 0.315
9.406 -4.490 0.144
-1.872 2.785 10.040
Ac Pb Ir
12 5 2
Direct
0.892 0.289 0.568
0.603 0.711 0.432
0.503 0.005 0.212
0.097 0.677 0.913
0.397 0.289 0.568
0.903 0.323 0.087
0.420 0.323 0.087
0.497 0.995 0.788
0.994 0.989 0.178
0.108 0.711 0.432
0.006 0.011 0.822
0.580 0.677 0.913
0.296 0.591 0.635
0.000 0.000 0.500
0.704 0.409 0.365
0.312 0.623 0.165
0.688 0.377 0.835
0.265 0.000 0.000
0.735 0.000 0.000
```

---

[5]
A relaxed structure of SiBi2W, computed with PBE.

- energy (eV per atom) = -5.28
- formation energy (no corrections) (eV/f.u.) = 5.03
- total magnetization (μB/f.u.) = 2.1
- N(E_F) (states/eV per cell) = 4.5

POSCAR file:
```
SiBi2W
1.0
6.462 0.000 0.000
0.000 6.462 0.000
3.231 3.231 6.332
W Bi Si
2 4 2
Direct
0.750 0.250 0.500
0.000 0.000 0.000
0.629 0.125 0.250
0.375 0.371 0.750
0.875 0.879 0.750
0.121 0.625 0.250
0.250 0.750 0.500
0.500 0.500 0.000
```

---

[6]
A relaxed structure of CaCuSi2, computed with PBE.

- energy (eV per atom) = -4.14
- formation energy (no corrections) (eV/f.u.) = 0.38
- total magnetization (μB/f.u.) = 0.0
- N(E_F) (states/eV per cell) = 1.0

POSCAR file:
```
CaCuSi2
1.0
-4.987 0.874 -0.285
-2.431 -4.167 -1.562
3.402 0.794 3.675
Si Cu Ca
2 1 1
Direct
0.250 0.750 0.500
0.000 0.000 0.000
0.750 0.250 0.500
0.500 0.500 0.000
```

---

[7]
A relaxed structure of Li7Ge2, computed with PBE.

- formation energy from the elements (meV per atom) = -318
- energy (eV per atom) = -2.83
- total magnetization (μB/f.u.) = 0.0
- N(E_F) (states/eV per cell) = 2.7

POSCAR file:
```
Li7Ge2
1.0
-4.445 1.922 -6.443
6.456 -4.283 -2.223
-2.348 -3.793 0.489
Li Ge
14 4
Direct
0.340 0.340 0.000
0.657 0.979 0.000
0.500 0.183 0.500
0.660 0.660 0.000
0.000 0.000 0.000
0.500 0.817 0.500
0.817 0.500 0.500
0.183 0.500 0.500
0.173 0.827 0.500
0.021 0.343 0.000
0.827 0.173 0.500
0.500 0.500 0.500
0.343 0.021 0.000
0.979 0.657 0.000
0.155 0.155 0.500
0.680 0.320 0.000
0.320 0.680 0.000
0.845 0.845 0.500
```

---

[8]
A relaxed structure of GaTcBi2, computed with PBE.

- formation energy from the elements (meV per atom) = 685
- energy (eV per atom) = -4.60
- total magnetization (μB/f.u.) = 0.0
- N(E_F) (states/eV per cell) = 3.8

POSCAR file:
```
GaTcBi2
1.0
-3.837 3.521 3.600
-0.652 -4.835 4.034
2.875 1.470 7.195
Tc Bi Ga
2 4 2
Direct
0.000 0.000 0.000
0.750 0.250 0.500
0.375 0.343 0.750
0.657 0.125 0.250
0.875 0.907 0.750
0.093 0.625 0.250
0.250 0.750 0.500
0.500 0.500 0.000
```

---

Which value of energy does entry 5 give? -5.28 eV per atom